Record 1
Below is TlBiPbAu after structural relaxation, with properties calculated at the GGA-PBE level.

Results
Energy relative to the lowest polymorph listed for this composition (eV per atom): 0.000
M_tot (μB/f.u.): 0.00
Fermi-level density of states (states/eV/cell): 1.579

The structure in CIF format:
```
data_TlBiPbAu
_chemical_formula_sum 'Tl1 Bi1 Pb1 Au1'
_symmetry_space_group_name_H-M 'P 1'
_symmetry_Int_Tables_number 1
_symmetry_space_group_name_Hall 'P 1'
_cell_length_a 3.604
_cell_length_b 3.604
_cell_length_c 8.663
_cell_angle_alpha 90.00
_cell_angle_beta 90.00
_cell_angle_gamma 90.00
loop_
_atom_site_label
_atom_site_fract_x
_atom_site_fract_y
_atom_site_fract_z
Au1 0.146 0.854 0.219
Bi1 0.646 0.354 0.434
Tl1 0.146 0.854 0.716
Pb1 0.646 0.354 0.020
```



Record 2
Below is ZnBiPb2Au after structural relaxation, with properties calculated at the GGA-PBE level.

Results
M_tot (μB/f.u.): 0.00
Fermi-level density of states (states/eV/cell): 3.477

The structure in CIF format:
```
data_ZnBiPb2Au
_chemical_formula_sum 'Zn1 Bi1 Pb2 Au1'
_symmetry_space_group_name_H-M 'P 1'
_symmetry_Int_Tables_number 1
_symmetry_space_group_name_Hall 'P 1'
_cell_length_a 6.095
_cell_length_b 5.254
_cell_length_c 6.095
_cell_angle_alpha 90.00
_cell_angle_beta 90.00
_cell_angle_gamma 90.00
loop_
_atom_site_label
_atom_site_fract_x
_atom_site_fract_y
_atom_site_fract_z
Bi1 0.000 0.000 0.000
Au1 0.500 0.500 0.500
Pb1 0.000 0.000 0.500
Pb2 0.500 0.000 0.000
Zn1 0.000 0.500 0.000
```



Record 3
Below is ZrBi2PbAu after structural relaxation, with properties calculated at the GGA-PBE level.

Results
M_tot (μB/f.u.): 0.00
Fermi-level density of states (states/eV/cell): 2.994

The structure in CIF format:
```
data_ZrBi2PbAu
_chemical_formula_sum 'Zr1 Bi2 Pb1 Au1'
_symmetry_space_group_name_H-M 'P 1'
_symmetry_Int_Tables_number 1
_symmetry_space_group_name_Hall 'P 1'
_cell_length_a 5.598
_cell_length_b 5.705
_cell_length_c 5.598
_cell_angle_alpha 90.00
_cell_angle_beta 90.00
_cell_angle_gamma 90.00
loop_
_atom_site_label
_atom_site_fract_x
_atom_site_fract_y
_atom_site_fract_z
Bi1 0.500 0.000 0.000
Au1 0.500 0.500 0.500
Pb1 0.000 0.500 0.000
Bi2 0.000 0.000 0.500
Zr1 0.000 0.000 0.000
```



Record 4
Below is Bi2Pd4Au after structural relaxation, with properties calculated at the GGA-PBE level.

Results
Energy relative to the lowest polymorph listed for this composition (eV per atom): 0.049
M_tot (μB/f.u.): 0.00
Fermi-level density of states (states/eV/cell): 4.616

The structure in CIF format:
```
data_Bi2Pd4Au
_chemical_formula_sum 'Bi2 Pd4 Au1'
_symmetry_space_group_name_H-M 'P 1'
_symmetry_Int_Tables_number 1
_symmetry_space_group_name_Hall 'P 1'
_cell_length_a 3.490
_cell_length_b 6.621
_cell_length_c 6.893
_cell_angle_alpha 111.45
_cell_angle_beta 104.66
_cell_angle_gamma 90.00
loop_
_atom_site_label
_atom_site_fract_x
_atom_site_fract_y
_atom_site_fract_z
Pd1 0.905 0.303 0.811
Pd2 0.416 0.643 0.831
Bi1 0.233 0.233 0.465
Pd3 0.584 0.357 0.169
Bi2 0.767 0.767 0.535
Pd4 0.095 0.697 0.189
Au1 0.000 0.000 0.000
```



Record 5
Below is Bi2Pd6Au after structural relaxation, with properties calculated at the GGA-PBE level.

Results
Energy relative to the lowest polymorph listed for this composition (eV per atom): 0.000
M_tot (μB/f.u.): 0.00
Fermi-level density of states (states/eV/cell): 3.648

The structure in CIF format:
```
data_Bi2Pd6Au
_chemical_formula_sum 'Bi2 Pd6 Au1'
_symmetry_space_group_name_H-M 'P 1'
_symmetry_Int_Tables_number 1
_symmetry_space_group_name_Hall 'P 1'
_cell_length_a 4.320
_cell_length_b 4.945
_cell_length_c 8.645
_cell_angle_alpha 102.06
_cell_angle_beta 90.00
_cell_angle_gamma 115.90
loop_
_atom_site_label
_atom_site_fract_x
_atom_site_fract_y
_atom_site_fract_z
Pd1 0.658 0.317 0.056
Bi1 0.683 0.365 0.741
Bi2 0.317 0.635 0.259
Pd2 0.342 0.683 0.944
Pd3 0.993 0.985 0.163
Pd4 0.007 0.015 0.837
Pd5 0.339 0.677 0.604
Pd6 0.661 0.323 0.396
Au1 0.000 0.000 0.500
```



Record 6
Below is Bi2Pd2Au after structural relaxation, with properties calculated at the GGA-PBE level.

Results
Energy relative to the lowest polymorph listed for this composition (eV per atom): 0.167
M_tot (μB/f.u.): 0.00
Fermi-level density of states (states/eV/cell): 3.029

The structure in CIF format:
```
data_Bi2Pd2Au
_chemical_formula_sum 'Bi2 Pd2 Au1'
_symmetry_space_group_name_H-M 'P 1'
_symmetry_Int_Tables_number 1
_symmetry_space_group_name_Hall 'P 1'
_cell_length_a 3.871
_cell_length_b 3.871
_cell_length_c 8.131
_cell_angle_alpha 76.23
_cell_angle_beta 76.23
_cell_angle_gamma 90.00
loop_
_atom_site_label
_atom_site_fract_x
_atom_site_fract_y
_atom_site_fract_z
Au1 0.000 0.000 0.000
Pd1 0.250 0.750 0.500
Bi1 0.387 0.387 0.226
Pd2 0.750 0.250 0.500
Bi2 0.613 0.613 0.774
```



Record 7
Below is BiPd4Au3 after structural relaxation, with properties calculated at the GGA-PBE level.

Results
Energy relative to the lowest polymorph listed for this composition (eV per atom): 0.000
M_tot (μB/f.u.): 0.00
Fermi-level density of states (states/eV/cell): 4.484

The structure in CIF format:
```
data_BiPd4Au3
_chemical_formula_sum 'Bi1 Pd4 Au3'
_symmetry_space_group_name_H-M 'P 1'
_symmetry_Int_Tables_number 1
_symmetry_space_group_name_Hall 'P 1'
_cell_length_a 4.318
_cell_length_b 4.318
_cell_length_c 8.158
_cell_angle_alpha 105.34
_cell_angle_beta 105.35
_cell_angle_gamma 90.00
loop_
_atom_site_label
_atom_site_fract_x
_atom_site_fract_y
_atom_site_fract_z
Pd1 0.627 0.628 0.255
Au1 0.248 0.748 0.496
Pd2 0.873 0.873 0.745
Bi1 0.500 0.000 0.000
Pd3 0.373 0.372 0.745
Au2 0.000 0.500 0.000
Au3 0.752 0.252 0.504
Pd4 0.127 0.127 0.255
```



Record 8
Below is BiPd14Au after structural relaxation, with properties calculated at the GGA-PBE level.

Results
M_tot (μB/f.u.): 0.00
Fermi-level density of states (states/eV/cell): 34.057

The structure in CIF format:
```
data_BiPd14Au
_chemical_formula_sum 'Bi1 Pd14 Au1'
_symmetry_space_group_name_H-M 'P 1'
_symmetry_Int_Tables_number 1
_symmetry_space_group_name_Hall 'P 1'
_cell_length_a 5.691
_cell_length_b 5.691
_cell_length_c 7.941
_cell_angle_alpha 90.00
_cell_angle_beta 90.00
_cell_angle_gamma 89.99
loop_
_atom_site_label
_atom_site_fract_x
_atom_site_fract_y
_atom_site_fract_z
Pd1 0.375 0.875 0.000
Pd2 0.624 0.624 0.245
Pd3 0.126 0.624 0.755
Pd4 0.624 0.126 0.755
Pd5 0.624 0.126 0.245
Pd6 0.875 0.375 0.000
Pd7 0.126 0.126 0.755
Pd8 0.126 0.624 0.245
Pd9 0.875 0.875 0.000
Pd10 0.624 0.624 0.755
Bi1 0.875 0.875 0.500
Au1 0.375 0.375 0.500
Pd11 0.126 0.126 0.245
Pd12 0.375 0.875 0.500
Pd13 0.375 0.375 0.000
Pd14 0.875 0.375 0.500
```



Number 1: energy -3.3312 eV per atom. Number 2: energy -2.4307 eV per atom. Number 3: energy -4.1921 eV per atom. Number 4: energy -4.6220 eV per atom. Number 5: energy -4.9056 eV per atom. Number 6: energy -4.3209 eV per atom. Number 7: energy -4.4506 eV per atom. Number 8: energy -5.0628 eV per atom.